## Mn2VRe (SCAN)

Data for Mn2VRe at its PBEsol-relaxed geometry.

a = 4.083 Å, b = 4.083 Å, c = 4.083 Å
α = 60.00°, β = 60.00°, γ = 60.00°
Fractional coordinates of all 4 atoms:
Re  0.500  0.500  0.500
Mn  0.250  0.250  0.250
Mn  0.750  0.750  0.750
V  0.000  0.000  0.000

Summary:
M_tot   0.00 μB/atom
N(E_F)   4.37 states/eV/f.u.
SG   Fm-3m (225)
DFT total energy   -125.44 eV per cell

***

## TcNi2Te (SCAN)

Data for TcNi2Te at its PBEsol-relaxed geometry.

a = 3.106 Å, b = 4.276 Å, c = 4.949 Å
α = 115.60°, β = 108.29°, γ = 90.00°
Fractional coordinates of all 4 atoms:
Ni  0.737  0.737  0.474
Ni  0.263  0.263  0.526
Tc  0.500  0.000  0.000
Te  0.000  0.500  0.000

Summary:
M_tot   0.00 μB/atom
N(E_F)   4.61 states/eV/f.u.
SG   Immm (71)
E_form (uncorrected)   0.3994 eV per atom

***

## BaCr2P (SCAN)

Data for BaCr2P at its PBEsol-relaxed geometry.

a = 3.162 Å, b = 3.162 Å, c = 7.347 Å
α = 90.00°, β = 90.00°, γ = 90.00°
Last column: magnetic moment on the atom in μB.
Fractional coordinates of all 4 atoms:
Ba  0.500  0.500  0.735  0.04
Cr  0.000  0.000  0.098  2.97
Cr  0.500  0.500  0.251  -2.84
P  0.000  0.000  0.416  0.14

Summary:
M_tot   0.18 μB/atom
N(E_F)   3.55 states/eV/f.u.
SG   P4mm (99)
DFT total energy   -86.37 eV per cell

***

- What is the N(E_F) in the second record?
  4.61 states/eV/f.u.